Record 1
The following is a DFT calculation (PBE) of a relaxed structure of Na2SrPb2.

```
Na2SrPb2
1.0
-4.357 2.455 2.242
-2.038 -3.524 -0.101
8.435 -2.892 12.859
Na Sr Pb
4 2 4
direct
0.543 0.293 0.087
0.941 0.191 0.882
0.457 0.707 0.913
0.059 0.809 0.118
0.826 0.576 0.651
0.174 0.424 0.349
0.725 0.975 0.451
0.275 0.025 0.549
0.376 0.126 0.753
0.624 0.874 0.247
```

energy of formation from the pure elements = -0.22 eV per atom
energy above the most stable polymorph in this dataset = 53 meV/atom

Record 2
The following is a DFT calculation (PBE) of a relaxed structure of Ta2Zn2CuO8.

```
Ta2Zn2CuO8
1.0
-5.409 8.008 -3.004
-6.696 7.059 2.780
3.789 3.335 1.391
Ta Zn Cu O
4 4 2 16
direct
0.042 0.728 0.225
0.272 0.958 0.275
0.958 0.272 0.775
0.728 0.042 0.725
0.874 0.566 0.265
0.434 0.126 0.235
0.126 0.434 0.735
0.566 0.874 0.765
0.642 0.358 0.250
0.358 0.642 0.750
0.043 0.814 0.555
0.186 0.957 0.945
0.957 0.186 0.445
0.814 0.043 0.055
0.308 0.578 0.060
0.422 0.692 0.440
0.692 0.422 0.940
0.578 0.308 0.560
0.922 0.719 0.931
0.281 0.078 0.569
0.454 0.162 0.858
0.838 0.546 0.642
0.546 0.838 0.142
0.162 0.454 0.358
0.719 0.922 0.431
0.078 0.281 0.069
```

energy relative to the elements, uncorrected = -2510 kJ/mol of formula units

Record 3
The following is a DFT calculation (PBE) of a relaxed structure of K2RbCa2.

```
K2RbCa2
1.0
5.193 0.000 0.000
0.000 5.193 0.000
2.596 2.596 12.386
Ca K Rb
2 2 1
direct
0.750 0.250 0.500
0.250 0.750 0.500
0.386 0.386 0.228
0.614 0.614 0.772
0.000 0.000 0.000
```

energy of formation from the pure elements = 0.23 eV per atom
energy above the most stable polymorph in this dataset = 14 meV/atom